Entry 1:
First-principles (PBE-GGA) data for Y2CdHAu after structural relaxation, as listed in Alexandria.

Results
Electronic total energy in eV per formula unit: -22.745
Crystal system: tetragonal
Space group: P4/mmm, No. 123

a b c (Å): 5.0388 5.0388 3.9691
angles (deg): 90.00 90.00 90.00
With the nearest neighbours (Å) after each atom.
Fractional positions:
Au 0.0000 0.0000 0.5000  2 H 1.98
H 0.0000 0.0000 0.0000  2 Au 1.98
Cd 0.5000 0.5000 0.5000  8 Y 3.21, 4 Au 3.56
Y 0.0000 0.5000 0.0000  2 H 2.52
Y 0.5000 0.0000 0.0000  2 H 2.52

***

Entry 2:
First-principles (PBE-GGA) data for TbAgO after structural relaxation, as listed in Alexandria.

Results
Formation energy without anion corrections in meV per atom: -2033
Energy above the lowest structure with this stoichiometry in meV per atom: 0.0
Crystal system: tetragonal
Space group: P4/nmm, No. 129

a b c (Å): 3.8830 3.8830 7.5625
angles (deg): 89.99 90.01 90.00
With the nearest neighbours (Å) after each atom.
Fractional positions:
Tb 0.2500 0.7500 0.3510  4 O 2.24
Tb 0.7500 0.2500 0.6490  4 O 2.24
O 0.7500 0.7500 0.5000  4 Tb 2.24
O 0.2500 0.2500 0.5000  4 Tb 2.24
Ag 0.2500 0.7500 0.9338  4 Ag 2.92, 1 Tb 3.15
Ag 0.7500 0.2500 0.0662  4 Ag 2.92, 1 Tb 3.15